DFT (PBE) results for a geometry-optimized Pm3Tm12Th structure.

Cell lengths 4.9860, 4.9860, 19.9394 Å; angles 90.00, 90.00, 90.00 degrees
Atoms (fractional coordinates):
1 Tm 0.0000 0.5000 0.3744
2 Tm 0.5000 0.5000 0.2498
3 Pm 0.0000 0.0000 0.7511
4 Tm 0.5000 0.5000 0.5000
5 Tm 0.5000 0.0000 0.8771
6 Tm 0.0000 0.5000 0.1229
7 Th 0.0000 0.0000 0.0000
8 Tm 0.5000 0.0000 0.1229
9 Tm 0.5000 0.0000 0.6256
10 Pm 0.0000 0.0000 0.2489
11 Tm 0.0000 0.5000 0.6256
12 Tm 0.0000 0.5000 0.8771
13 Tm 0.5000 0.0000 0.3744
14 Tm 0.5000 0.5000 0.0000
15 Pm 0.0000 0.0000 0.5000
16 Tm 0.5000 0.5000 0.7502

Properties
Calculated total energy, eV for the cell shown: -74.9
Crystal system: tetragonal
Volume, Å³/cell: 496
DOS at the Fermi energy, states/eV per cell: 24.0
Formation enthalpy at 0 K, eV/f.u.: 0.44

=====

DFT (PBE) results for a geometry-optimized PmTm6Th4 structure.

Cell lengths 7.9011, 7.9011, 8.4625 Å; angles 117.83, 117.83, 90.00 degrees
Atoms (fractional coordinates):
1 Th 0.0911 0.7590 0.8502
2 Tm 0.4199 0.9427 0.3626
3 Pm 0.5000 0.5000 0.0000
4 Tm 0.0000 0.5000 0.0000
5 Tm 0.5000 0.0000 0.0000
6 Th 0.9089 0.9089 0.1498
7 Th 0.2410 0.2410 0.1498
8 Tm 0.5801 0.5801 0.6374
9 Tm 0.0573 0.0573 0.6374
10 Tm 0.9427 0.4199 0.3626
11 Th 0.7590 0.0911 0.8502

Properties
Calculated total energy, eV for the cell shown: -55.6
Crystal system: tetragonal
Volume, Å³/cell: 397
DOS at the Fermi energy, states/eV per cell: 15.2
Formation enthalpy at 0 K, eV/f.u.: 5.67

=====

DFT (PBE) results for a geometry-optimized PmTmTh2 structure.

Cell lengths 5.1292, 5.0117, 5.0117 Å; angles 90.00, 90.00, 90.00 degrees
Atoms (fractional coordinates):
1 Tm 0.5000 0.5000 0.5000
2 Pm 0.5000 0.0000 0.0000
3 Th 0.0000 0.0000 0.5000
4 Th 0.0000 0.5000 0.0000

Properties
Calculated total energy, eV for the cell shown: -23.8
Crystal system: tetragonal
Volume, Å³/cell: 129
DOS at the Fermi energy, states/eV per cell: 6.1
Formation enthalpy at 0 K, eV/f.u.: 0.23

=====

DFT (PBE) results for a geometry-optimized PmTm7Th3 structure.

Cell lengths 8.4881, 7.0163, 7.0163 Å; angles 120.00, 90.00, 90.00 degrees
Atoms (fractional coordinates):
1 Pm 0.4540 0.3333 0.6667
2 Tm 0.1143 0.1672 0.3343
3 Tm 0.4501 0.8320 0.6641
4 Th 0.7846 0.9976 0.4988
5 Tm 0.1143 0.1672 0.8328
6 Tm 0.1141 0.6667 0.3333
7 Tm 0.1143 0.6657 0.8328
8 Th 0.7846 0.5012 0.4988
9 Tm 0.4501 0.3359 0.1680
10 Th 0.7846 0.5012 0.0024
11 Tm 0.4501 0.8320 0.1680

Properties
Calculated total energy, eV for the cell shown: -56.0
Crystal system: trigonal
Volume, Å³/cell: 362
DOS at the Fermi energy, states/eV per cell: 14.4
Formation enthalpy at 0 K, eV/f.u.: 2.35

=====

DFT (PBE) results for a geometry-optimized PmTm6Th structure.

Cell lengths 4.9777, 4.9777, 9.9646 Å; angles 90.00, 90.00, 90.00 degrees
Atoms (fractional coordinates):
1 Pm 0.0000 0.0000 0.0000
2 Th 0.0000 0.0000 0.5000
3 Tm 0.0000 0.5000 0.2530
4 Tm 0.5000 0.5000 0.5000
5 Tm 0.0000 0.5000 0.7470
6 Tm 0.5000 0.0000 0.2530
7 Tm 0.5000 0.0000 0.7470
8 Tm 0.5000 0.5000 0.0000

Properties
Calculated total energy, eV for the cell shown: -38.8
Crystal system: tetragonal
Volume, Å³/cell: 247
DOS at the Fermi energy, states/eV per cell: 12.3
Formation enthalpy at 0 K, eV/f.u.: 0.23

=====

DFT (PBE) results for a geometry-optimized Pm5Tm12Th2 structure.

Cell lengths 7.0653, 9.2509, 10.8015 Å; angles 103.32, 90.00, 112.45 degrees
Atoms (fractional coordinates):
1 Tm 0.9745 0.9489 0.2051
2 Tm 0.5886 0.6992 0.3062
3 Tm 0.5985 0.6841 0.7723
4 Tm 0.0255 0.0511 0.7949
5 Pm 0.7347 0.4693 0.9979
6 Tm 0.4015 0.3159 0.2277
7 Th 0.7093 0.0000 0.0000
8 Tm 0.4114 0.3008 0.6938
9 Pm 0.0000 0.0000 0.5000
10 Th 0.2907 0.0000 0.0000
11 Pm 0.7513 0.5026 0.4931
12 Tm 0.0856 0.6841 0.7723
13 Tm 0.4719 0.9439 0.6529
14 Tm 0.9144 0.3159 0.2277
15 Pm 0.2653 0.5307 0.0021
16 Tm 0.5281 0.0561 0.3471
17 Pm 0.2487 0.4974 0.5069
18 Tm 0.1106 0.6992 0.3062
19 Tm 0.8894 0.3008 0.6938

Properties
Calculated total energy, eV for the cell shown: -86.3
Crystal system: monoclinic
Volume, Å³/cell: 632
DOS at the Fermi energy, states/eV per cell: 23.8
Formation enthalpy at 0 K, eV/f.u.: 5.92

=====

DFT (PBE) results for a geometry-optimized Pm2Tm3Th2 structure.

Cell lengths 3.5705, 9.4302, 7.9561 Å; angles 75.24, 102.93, 67.78 degrees
Atoms (fractional coordinates):
1 Pm 0.2956 0.2824 0.1537
2 Th 0.1491 0.1395 0.5782
3 Tm 0.4237 0.4285 0.7052
4 Tm 0.0000 0.0000 0.0000
5 Th 0.8509 0.8605 0.4218
6 Tm 0.5763 0.5715 0.2948
7 Pm 0.7044 0.7176 0.8463

Properties
Calculated total energy, eV for the cell shown: -37.5
Crystal system: triclinic
Volume, Å³/cell: 224
DOS at the Fermi energy, states/eV per cell: 9.9
Formation enthalpy at 0 K, eV/f.u.: 0.22

=====

DFT (PBE) results for a geometry-optimized PmTm6Th3 structure.

Cell lengths 3.4722, 13.0734, 14.1232 Å; angles 82.38, 90.00, 90.00 degrees
Atoms (fractional coordinates):
1 Tm 0.2500 0.3701 0.5212
2 Th 0.7500 0.1748 0.1028
3 Pm 0.7500 0.6844 0.1084
4 Th 0.7500 0.0033 0.3002
5 Pm 0.2500 0.3156 0.8916
6 Tm 0.2500 0.7741 0.2984
7 Th 0.2500 0.8252 0.8972
8 Th 0.2500 0.9967 0.6998
9 Tm 0.7500 0.7476 0.7038
10 Tm 0.7500 0.0597 0.9018
11 Tm 0.7500 0.6299 0.4788
12 Tm 0.2500 0.9403 0.0982
13 Tm 0.7500 0.4251 0.1023
14 Th 0.7500 0.4839 0.7066
15 Tm 0.7500 0.2259 0.7016
16 Th 0.2500 0.5161 0.2934
17 Tm 0.2500 0.5749 0.8977
18 Tm 0.2500 0.8756 0.5003
19 Tm 0.2500 0.2524 0.2962
20 Tm 0.7500 0.1244 0.4997

Properties
Calculated total energy, eV for the cell shown: -105.6
Crystal system: monoclinic
Volume, Å³/cell: 635
DOS at the Fermi energy, states/eV per cell: 29.4
Formation enthalpy at 0 K, eV/f.u.: 1.05

=====

DFT (PBE) results for a geometry-optimized Pm7Tm2Th2 structure.

Cell lengths 8.7302, 6.0454, 8.7302 Å; angles 64.02, 97.42, 115.98 degrees
Atoms (fractional coordinates):
1 Pm 0.5909 0.8111 0.9558
2 Pm 0.5717 0.3451 0.4283
3 Tm 0.7735 0.1451 0.2265
4 Pm 0.4283 0.6549 0.5717
5 Pm 0.0000 0.0000 0.0000
6 Tm 0.2265 0.8549 0.7735
7 Pm 0.0442 0.8111 0.4091
8 Pm 0.9558 0.1889 0.5909
9 Th 0.7873 0.5000 0.7873
10 Th 0.2127 0.5000 0.2127
11 Pm 0.4091 0.1889 0.0442

Properties
Calculated total energy, eV for the cell shown: -55.0
Crystal system: monoclinic
Volume, Å³/cell: 371
DOS at the Fermi energy, states/eV per cell: 14.9
Formation enthalpy at 0 K, eV/f.u.: 2.03

=====

DFT (PBE) results for a geometry-optimized Pm2Tm5Th2 structure.

Cell lengths 11.8257, 6.6147, 10.0489 Å; angles 109.22, 126.04, 90.00 degrees
Atoms (fractional coordinates):
1 Tm 0.3712 0.0472 0.2849
2 Tm 0.9880 0.1531 0.5000
3 Tm 0.1892 0.1549 0.8929
4 Tm 0.5863 0.2623 0.7151
5 Tm 0.7963 0.7620 0.1071
6 Pm 0.1260 0.6777 0.2527
7 Tm 0.6288 0.7623 0.7151
8 Tm 0.2037 0.6549 0.8929
9 Tm 0.4137 0.5472 0.2849
10 Th 0.7466 0.8429 0.5000
11 Th 0.0000 0.0109 0.0000
12 Tm 0.8108 0.2620 0.1071
13 Th 0.2534 0.3429 0.5000
14 Pm 0.6267 0.1777 0.2527
15 Tm 0.0120 0.6531 0.5000
16 Th 0.5000 0.5109 0.0000
17 Pm 0.3733 0.9250 0.7473
18 Pm 0.8740 0.4250 0.7473

Properties
Calculated total energy, eV for the cell shown: -89.1
Crystal system: orthorhombic
Volume, Å³/cell: 581
DOS at the Fermi energy, states/eV per cell: 27.1
Formation enthalpy at 0 K, eV/f.u.: 2.15

=====

DFT (PBE) results for a geometry-optimized Pm4Tm5Th structure.

Cell lengths 3.6889, 8.2797, 10.8381 Å; angles 97.46, 99.80, 90.00 degrees
Atoms (fractional coordinates):
1 Pm 0.3153 0.9467 0.6306
2 Th 0.5000 0.0000 0.0000
3 Tm 0.5000 0.5000 0.0000
4 Tm 0.0935 0.7576 0.1870
5 Pm 0.8901 0.6706 0.7803
6 Pm 0.6847 0.0533 0.3694
7 Tm 0.7171 0.6410 0.4342
8 Pm 0.1099 0.3294 0.2197
9 Tm 0.9065 0.2424 0.8130
10 Tm 0.2829 0.3590 0.5658

Properties
Calculated total energy, eV for the cell shown: -47.9
Crystal system: monoclinic
Volume, Å³/cell: 323
DOS at the Fermi energy, states/eV per cell: 16.0
Formation enthalpy at 0 K, eV/f.u.: 0.85

=====

DFT (PBE) results for a geometry-optimized Pm7Tm3Th structure.

Cell lengths 10.2131, 10.2130, 12.5038 Å; angles 65.38, 114.62, 138.86 degrees
Atoms (fractional coordinates):
1 Pm 0.9132 0.5845 0.0239
2 Tm 0.0000 0.0000 0.5000
3 Pm 0.8316 0.1600 0.7247
4 Pm 0.5844 0.9132 0.4761
5 Pm 0.1684 0.8400 0.2753
6 Pm 0.5796 0.9113 0.9720
7 Pm 0.7328 0.7328 0.2500
8 Pm 0.0868 0.4155 0.9761
9 Tm 0.6646 0.3304 0.7736
10 Pm 0.9113 0.5796 0.5280
11 Tm 0.3354 0.6696 0.2264
12 Pm 0.0887 0.4204 0.4720
13 Tm 0.6697 0.3354 0.2736
14 Pm 0.4156 0.0868 0.5239
15 Th 0.5000 0.5000 0.5000
16 Tm 0.0000 0.0000 0.0000
17 Pm 0.4204 0.0887 0.0280
18 Pm 0.8400 0.1684 0.2247
19 Pm 0.1600 0.8316 0.7753
20 Pm 0.2672 0.2672 0.7500
21 Th 0.5000 0.5000 0.0000
22 Tm 0.3303 0.6646 0.7264

Properties
Calculated total energy, eV for the cell shown: -103.9
Crystal system: monoclinic
Volume, Å³/cell: 768
DOS at the Fermi energy, states/eV per cell: 32.1
Formation enthalpy at 0 K, eV/f.u.: 2.12